# 1
# Sc2CdAg

A relaxed Sc2CdAg crystal (PBE, Alexandria via LeMat-Bulk).

Calculated values
space-group type = Cm, No. 8
E_form = -0.1758 eV per atom
magnetic moment = 0.09 μB per cell

extended XYZ file:
```
4
Lattice="5.6332 0.0634 0.0246 4.6602 3.1654 0.0246 1.4428 0.4526 4.9050" Properties=species:S:1:pos:R:3 pbc="T T T"
Sc 10.2572 3.2174 0.2434
Sc 8.8878 2.7879 3.4886
Ag 6.0194 1.8881 2.6540
Cd 2.7333 0.8574 1.0947
```

=====

# 2
# Dy6Zn5Pd

A relaxed Dy6Zn5Pd crystal (PBE, Alexandria via LeMat-Bulk).

Calculated values
space-group type = Cmmm, No. 65
E_form = -0.4393 eV per atom
magnetic moment = 0.00 μB per cell

extended XYZ file:
```
12
Lattice="4.7753 -0.0285 1.5912 0.0381 7.0872 0.0127 0.0007 -0.0143 7.9572" Properties=species:S:1:pos:R:3 pbc="T T T"
Zn 1.5997 3.5294 3.2157
Zn 3.2135 -0.0285 6.2770
Zn 0.0190 3.5436 0.0063
Zn 3.2144 3.5151 6.3455
Zn 1.5625 -0.0143 3.2715
Dy 2.4163 5.3200 0.8051
Dy 0.8176 5.3003 5.6039
Dy 4.0155 5.2860 3.9636
Dy 2.3971 1.7388 0.7988
Dy 0.7985 1.7584 5.5976
Dy 3.9965 1.7442 3.9572
Pd 0.0000 0.0000 0.0000
```

=====

# 3
# Li2MgRuRh

A relaxed Li2MgRuRh crystal (PBE, Alexandria via LeMat-Bulk).

Calculated values
space-group type = P4/mmm, No. 123
E_form = 1.0365 eV per atom
magnetic moment = 2.60 μB per cell

extended XYZ file:
```
5
Lattice="4.2905 0.0000 0.0000 0.0000 4.6139 0.0000 0.0000 0.0000 4.2905" Properties=species:S:1:pos:R:3 pbc="T T T"
Li 0.0000 0.0000 2.1452
Li 2.1452 0.0000 0.0000
Rh 0.0000 2.3070 0.0000
Mg 0.0000 0.0000 0.0000
Ru 2.1452 2.3070 2.1452
```

=====

# 4
# RbAl3Ag

A relaxed RbAl3Ag crystal (PBE, Alexandria via LeMat-Bulk).

Calculated values
space-group type = Pm-3m, No. 221
E_form = 0.4483 eV per atom
excess energy over the best structure of this formula in the dataset = 0.000 eV/atom
magnetic moment = 0.00 μB per cell

extended XYZ file:
```
5
Lattice="5.1602 0.0000 0.0000 0.0000 5.1602 0.0000 0.0000 0.0000 5.1602" Properties=species:S:1:pos:R:3 pbc="T T T"
Al 0.0000 0.0000 2.5801
Al 2.5801 0.0000 0.0000
Al 0.0000 2.5801 0.0000
Rb 2.5801 2.5801 2.5801
Ag 0.0000 0.0000 0.0000
```

=====

# 5
# YZnGeBi2

A relaxed YZnGeBi2 crystal (PBE, Alexandria via LeMat-Bulk).

Calculated values
space-group type = P4/mmm, No. 123
E_form = 0.1599 eV per atom
magnetic moment = 0.00 μB per cell

extended XYZ file:
```
5
Lattice="-1.3783 -0.1866 5.5483 4.4072 -0.5228 1.0773 0.5911 5.6793 0.3379" Properties=species:S:1:pos:R:3 pbc="T T T"
Y 1.8100 2.4849 3.4817
Bi 0.2956 2.8396 0.1689
Bi -0.6891 -0.0933 2.7741
Zn 2.2036 -0.2614 0.5386
Ge 0.0000 0.0000 0.0000
```

=====

# 6
# NaSrBO3

A relaxed NaSrBO3 crystal (PBE, Alexandria via LeMat-Bulk).

Calculated values
space-group type = P6_3/mmc, No. 194
uncorrected formation energy = -2.455 eV/atom
magnetic moment = 0.00 μB per cell

extended XYZ file:
```
12
Lattice="-4.6596 2.2358 -1.8936 0.9139 -5.3927 -0.6163 -3.0786 -1.2226 6.1321" Properties=species:S:1:pos:R:3 pbc="T T T"
Sr -1.5393 -0.6113 3.0661
Sr 0.0000 0.0000 0.0000
B -1.7136 -3.1555 0.4910
B -5.1107 -1.2240 3.1313
Na -3.2529 -3.7668 3.5570
Na -3.5714 -0.6127 0.0652
O -5.5236 -2.4705 2.6755
O -5.9233 -0.1118 2.9451
O -3.8852 -1.0897 3.7733
O -0.9010 -4.2677 0.6772
O -1.3007 -1.9090 0.9468
O -2.9390 -3.2898 -0.1510
```

=====

# 7
# CrRuRh2

A relaxed CrRuRh2 crystal (PBE, Alexandria via LeMat-Bulk).

Calculated values
space-group type = Cm, No. 8
E_form = -0.0012 eV per atom
magnetic moment = 1.34 μB per cell

extended XYZ file:
```
4
Lattice="4.6412 -0.0060 0.0090 3.8645 2.5704 0.0090 0.8154 0.2458 4.5724" Properties=species:S:1:pos:R:3 pbc="T T T"
Cr 2.3212 0.6998 1.1362
Rh 6.9989 2.1101 3.4055
Rh 8.4694 2.5535 0.0711
Ru 4.6979 1.4164 2.2907
```

=====

# 8
# Tb2NdP

A relaxed Tb2NdP crystal (PBE, Alexandria via LeMat-Bulk).

Calculated values
space-group type = R-3m, No. 166
E_form = -0.5440 eV per atom
magnetic moment = 0.84 μB per cell

extended XYZ file:
```
4
Lattice="-2.0397 1.6777 2.6885 -3.5976 0.9108 -0.6564 -4.8498 -8.3518 4.1738" Properties=species:S:1:pos:R:3 pbc="T T T"
Nd 0.0000 0.0000 0.0000
Tb -6.6534 -0.5631 3.2279
Tb -3.8338 -5.2002 2.9779
P -5.2436 -2.8816 3.1029
```

=====

# 9
# CrOs2Rh

A relaxed CrOs2Rh crystal (PBE, Alexandria via LeMat-Bulk).

Calculated values
space-group type = P4/mmm, No. 123
E_form = 0.0848 eV per atom
excess energy over the best structure of this formula in the dataset = 0.049 eV/atom
magnetic moment = 0.00 μB per cell

extended XYZ file:
```
4
Lattice="-2.4874 0.8246 -0.6335 -0.6960 -0.1001 2.6027 2.1570 7.1616 0.8522" Properties=species:S:1:pos:R:3 pbc="T T T"
Cr 0.0261 5.7334 1.6238
Os 2.1296 7.0704 0.8414
Os 1.1060 3.6720 0.4370
Rh -1.0525 2.1526 1.1977
```

=====

# 10
# Ce4YHo3S8

A relaxed Ce4YHo3S8 crystal (PBE, Alexandria via LeMat-Bulk).

Calculated values
space-group type = R-3m, No. 166
uncorrected formation energy = -2.025 eV/atom
magnetic moment = 2.72 μB per cell

extended XYZ file:
```
16
Lattice="-1.2661 -0.4607 -7.7607 -0.4397 -7.9281 0.5424 -4.6683 4.4795 4.4930" Properties=species:S:1:pos:R:3 pbc="T T T"
Ce -2.9672 2.0094 -1.6338
Ce -2.3342 2.2397 2.2465
Ce -0.6331 -0.2304 -3.8803
Ce 0.0000 0.0000 0.0000
Ho -0.8529 -4.1944 -3.6091
Ho -3.1871 -1.9547 -1.3626
Ho -2.5540 -1.7243 2.5177
S -2.8147 0.0730 0.4549
S -1.1120 -2.3882 -5.6642
S -2.9380 -3.7514 0.7020
S -3.4361 -0.1580 -3.4273
S -5.2622 -1.5213 2.9390
S -3.5594 -3.9824 -3.1802
S -5.8925 -1.7506 -0.9249
S -0.4816 -2.1588 -1.8004
Y -0.2199 -3.9641 0.2712
```

=====

# 11
# Na3Dy2MnSe6

A relaxed Na3Dy2MnSe6 crystal (PBE, Alexandria via LeMat-Bulk).

Calculated values
space-group type = C2/m, No. 12
uncorrected formation energy = -1.335 eV/atom
magnetic moment = 4.00 μB per cell

extended XYZ file:
```
12
Lattice="-6.1913 0.4813 -3.2588 5.6931 -2.1404 -3.4914 -1.2622 -6.0739 3.9663" Properties=species:S:1:pos:R:3 pbc="T T T"
Na 3.0566 -4.7350 -1.4690
Na -4.8170 -2.9981 -1.3149
Na -0.8802 -3.8665 -1.3919
Mn 0.0000 0.0000 0.0000
Se -0.6527 -2.5747 -4.3272
Se 1.4718 -2.1734 -0.7227
Se 0.5148 -6.3863 -2.1345
Se -2.2752 -1.3468 -0.6494
Se -1.1077 -5.1584 1.5433
Se -3.2322 -5.5597 -2.0611
Dy 1.7464 -1.2698 -3.4142
Dy -2.2446 -0.3894 -3.3360
```

=====

# 12
# KLa2Ta

A relaxed KLa2Ta crystal (PBE, Alexandria via LeMat-Bulk).

Calculated values
space-group type = F-43m, No. 216
E_form = 1.0881 eV per atom
excess energy over the best structure of this formula in the dataset = 0.667 eV/atom
magnetic moment = 2.43 μB per cell

extended XYZ file:
```
4
Lattice="-3.8723 3.4131 -2.3217 -4.3226 -2.1971 -2.9192 -5.2410 0.1941 2.1278" Properties=species:S:1:pos:R:3 pbc="T T T"
K -6.7180 0.7050 -1.5566
La 0.0000 0.0000 0.0000
La -3.3590 0.3525 -0.7783
Ta -10.0769 1.0575 -2.3348
```

=====

Among the records above, which one has the highest magnetic moment? Na3Dy2MnSe6